# Hf2AgSn2, optimized geometry, DFT PBE-GGA
# Calculated total energy ... -5.81 eV/atom
# M_tot ... 0.0 Bohr magnetons per cell
data_Hf2AgSn2
_cell_length_a 4.4869
_cell_length_b 4.4869
_cell_length_c 12.6505
_cell_angle_alpha 90.00
_cell_angle_beta 90.00
_cell_angle_gamma 90.00
_symmetry_space_group_name_H-M 'I 4/m m m'
_symmetry_Int_Tables_number 139
_symmetry_space_group_name_Hall '-I 4 2'
loop_
_atom_site_label
_atom_site_type_symbol
_atom_site_fract_x
_atom_site_fract_y
_atom_site_fract_z
Hf1 Hf 0.0000 0.5000 0.2500
Ag1 Ag 0.0000 0.0000 0.0000
Sn1 Sn 0.0000 0.0000 0.3931